(1)
Below is a relaxed LaHfPd crystal, with properties calculated at the PBE level.

The space group is P4/mmm (No. 123) and the conventional cell measures 3.4882, 3.4882 and 11.7108 Å, with angles of 90.00, 90.00 and 90.00 degrees. The asymmetric unit holds La at (0.0000, 0.0000, 0.1660), Hf at (0.5000, 0.5000, 0.3716), Pd at (0.0000, 0.0000, 0.5000) and Pd at (0.5000, 0.5000, 0.0000).

As for the energy of formation from the pure elements: -318 meV per atom. The value obtained for the total energy is -7.0096 eV per atom.


(2)
Below is a relaxed TlTeIN2 crystal, with properties calculated at the PBE level.

The space group is P4/mmm (No. 123) and the conventional cell measures 4.5417, 4.5417 and 6.7282 Å, with angles of 90.00, 90.00 and 90.00 degrees. The asymmetric unit holds Tl at (0.0000, 0.0000, 0.0000), Te at (0.5000, 0.5000, 0.5000), I at (0.0000, 0.0000, 0.5000) and N at (0.0000, 0.5000, 0.0000).

Its uncorrected formation energy is 1755.9 meV per atom. The value obtained for the total energy is -2.9859 eV per atom.


| no. | E above lowest polymorph (eV per atom) |
| --- | --- |
| 1 | 0.055 |
| 2 | 0.520 |